No. 1
! KBa2Sr, optimized geometry, DFT GGA-PBEsol; values from VASP
&SYSTEM
  ibrav = 0, nat = 4, ntyp = 3
/
ATOMIC_SPECIES
K 39.10 K.upf
Ba 137.33 Ba.upf
Sr 87.62 Sr.upf
CELL_PARAMETERS angstrom
2.3905 -3.4582 0.0000
2.3905 3.4582 0.0000
0.0000 0.0000 14.2342
ATOMIC_POSITIONS crystal
K 0.0000 0.0000 0.0000
Ba 0.0000 0.0000 0.5074
Ba 0.5000 0.5000 0.2635
Sr 0.5000 0.5000 0.7438
! Crystal system: orthorhombic
! Energy of formation from the pure elements, eV/atom: 0.05
! E above lowest polymorph, meV per atom: 0.4

=====

No. 2
! Sc2GeBrN, optimized geometry, DFT GGA-PBEsol; values from VASP
&SYSTEM
  ibrav = 0, nat = 5, ntyp = 4
/
ATOMIC_SPECIES
Sc 44.96 Sc.upf
Ge 72.64 Ge.upf
Br 79.90 Br.upf
N 14.01 N.upf
CELL_PARAMETERS angstrom
4.8986 0.0000 0.0000
0.0000 4.8986 0.0000
0.0000 0.0000 4.7892
ATOMIC_POSITIONS crystal
Sc 0.0000 0.5000 0.0000
Sc 0.5000 0.0000 0.0000
Ge 0.0000 0.0000 0.5000
Br 0.0000 0.0000 0.0000
N 0.5000 0.5000 0.5000
! Formation energy from raw total energies, meV/atom: 1207
! Crystal system: tetragonal

=====

No. 3
! BeC4, optimized geometry, DFT GGA-PBEsol; values from VASP
&SYSTEM
  ibrav = 0, nat = 5, ntyp = 2
/
ATOMIC_SPECIES
Be 9.01 Be.upf
C 12.01 C.upf
CELL_PARAMETERS angstrom
2.6519 0.0000 0.0000
-1.3260 2.2966 0.0000
0.0000 0.0000 8.1362
ATOMIC_POSITIONS crystal
Be 0.0000 0.0000 0.0000
C 0.3333 0.6667 0.0674
C 0.3333 0.6667 0.4999
C 0.6667 0.3333 0.5001
C 0.6667 0.3333 0.9326
! Crystal system: trigonal
! Energy of formation from the pure elements, eV/atom: 1.61

=====

No. 4
! La7Ni3, optimized geometry, DFT GGA-PBEsol; values from VASP
&SYSTEM
  ibrav = 0, nat = 20, ntyp = 2
/
ATOMIC_SPECIES
La 138.91 La.upf
Ni 58.69 Ni.upf
CELL_PARAMETERS angstrom
9.8701 0.0000 0.0000
-4.9350 8.5477 0.0000
0.0000 0.0000 6.3261
ATOMIC_POSITIONS crystal
La 0.0760 0.5380 0.0000
La 0.1256 0.2512 0.3100
La 0.1256 0.8744 0.3100
La 0.2512 0.1256 0.8100
La 0.3333 0.6667 0.5325
La 0.4620 0.5380 0.0000
La 0.4620 0.9240 0.0000
La 0.5380 0.0760 0.5000
La 0.5380 0.4620 0.5000
La 0.6667 0.3333 0.0325
La 0.7488 0.8744 0.3100
La 0.8744 0.1256 0.8100
La 0.8744 0.7488 0.8100
La 0.9240 0.4620 0.5000
Ni 0.1867 0.3734 0.7656
Ni 0.1867 0.8133 0.7656
Ni 0.3734 0.1867 0.2656
Ni 0.6266 0.8133 0.7656
Ni 0.8133 0.1867 0.2656
Ni 0.8133 0.6266 0.2656
! Crystal system: hexagonal
! Energy of formation from the pure elements, eV/atom: -0.21